A geometry-optimized Li3LaO structure, computed with GGA-PBE.

Output
Symmetry   No. 221
Total magnetic moment   0.000 Bohr magnetons per cell
Formation energy from raw total energies   -413 meV/atom
Crystal system   cubic
E above lowest polymorph   0.0 meV per atom

Lattice parameters (Å, degrees): 4.3776 4.3776 4.3776 90.00 90.00 90.00
Last column: nearest neighbours and their distance in Å.
Fractional positions:
Li 0.0000 0.0000 0.5000  2 O 2.19
Li 0.0000 0.5000 0.0000  2 O 2.19
Li 0.5000 0.0000 0.0000  2 O 2.19
La 0.5000 0.5000 0.5000  12 Li 3.10
O 0.0000 0.0000 0.0000  6 Li 2.19

A geometry-optimized Pu2BiO2 structure, computed with GGA-PBE.

Output
Symmetry   No. 70
Total magnetic moment   18.369 Bohr magnetons per cell
Formation energy from raw total energies   -2138 meV/atom
Crystal system   orthorhombic
E above lowest polymorph   106.5 meV per atom

Lattice parameters (Å, degrees): 7.5492 6.5456 6.2258 72.42 55.75 51.83
Last column: nearest neighbours and their distance in Å.
Fractional positions:
Pu 0.0514 0.6986 0.0514  4 O 2.32
Pu 0.3014 0.9486 0.3014  4 O 2.32
Pu 0.6986 0.0514 0.6986  4 O 2.32
Pu 0.9486 0.3014 0.9486  4 O 2.32
Bi 0.3750 0.3750 0.3750  6 Pu 3.33-3.36, 4 O 3.38
Bi 0.6250 0.6250 0.6250  6 Pu 3.33-3.36, 4 O 3.38
O 0.0051 0.0051 0.7449  4 Pu 2.32
O 0.2551 0.2551 0.9949  4 Pu 2.32
O 0.7449 0.7449 0.0051  4 Pu 2.32
O 0.9949 0.9949 0.2551  4 Pu 2.32

A geometry-optimized KAsS2Cl structure, computed with GGA-PBE.

Output
Symmetry   No. 123
Total magnetic moment   0.000 Bohr magnetons per cell
Formation energy from raw total energies   -472 meV/atom
Crystal system   tetragonal
E above lowest polymorph   0.0 meV per atom

Lattice parameters (Å, degrees): 4.7802 4.7802 5.4123 90.00 90.00 90.00
Last column: nearest neighbours and their distance in Å.
Fractional positions:
K 0.0000 0.0000 0.0000  4 Cl 3.38, 8 S 3.61
As 0.5000 0.5000 0.5000  4 S 2.39
S 0.0000 0.5000 0.5000  2 As 2.39
S 0.5000 0.0000 0.5000  2 As 2.39
Cl 0.5000 0.5000 0.0000  2 As 2.71

A geometry-optimized DyZrN structure, computed with GGA-PBE.

Output
Symmetry   No. 63
Total magnetic moment   0.000 Bohr magnetons per cell
Formation energy from raw total energies   219 meV/atom
Crystal system   orthorhombic
E above lowest polymorph   1294.7 meV per atom

Lattice parameters (Å, degrees): 13.5474 13.5474 3.5523 90.00 90.00 165.70
Last column: nearest neighbours and their distance in Å.
Fractional positions:
Dy 0.2048 0.7952 0.7500  8 Dy 3.37-3.55, 2 Zr 3.57
Dy 0.7952 0.2048 0.2500  8 Dy 3.37-3.55, 2 Zr 3.57
Zr 0.0896 0.9104 0.2500  2 N 1.96
Zr 0.9104 0.0896 0.7500  2 N 1.96
N 0.4475 0.5525 0.7500  2 Zr 1.96
N 0.5525 0.4475 0.2500  2 Zr 1.96